(1)
{"formula": "Cd2In3Ag4", "functional": "PBE", "state": "optimized geometry", "spacegroup": "No. 12", "formation_enthalpy_0k_mev_per_atom": 34, "m_tot_mub_per_atom": 0.000, "lattice": [[4.652, 0.000, 0.000], [-2.326, 4.569, -0.831], [0.000, -0.132, 9.417]], "species": ["Cd", "Cd", "In", "In", "In", "Ag", "Ag", "Ag", "Ag"], "frac_coords": [[0.333, 0.667, 0.180], [0.667, 0.333, 0.820], [0.362, 0.723, 0.566], [0.000, 0.000, 0.000], [0.638, 0.277, 0.434], [0.647, 0.293, 0.132], [0.076, 0.152, 0.646], [0.924, 0.848, 0.354], [0.353, 0.707, 0.868]]}

=====

(2)
{"formula": "AgAu", "functional": "PBE", "state": "optimized geometry", "spacegroup": "No. 87", "formation_enthalpy_0k_mev_per_atom": 91, "m_tot_mub_per_atom": 0.000, "lattice": [[-0.655, 9.604, 4.082], [-4.646, -3.931, 8.503], [2.523, -0.346, 1.219]], "species": ["Ag", "Ag", "Ag", "Ag", "Ag", "Ag", "Ag", "Ag", "Au", "Au", "Au", "Au", "Au", "Au", "Au", "Au"], "frac_coords": [[0.358, 0.100, 0.000], [0.642, 0.900, 0.000], [0.900, 0.358, 0.000], [0.100, 0.642, 0.000], [0.858, 0.600, 0.500], [0.142, 0.400, 0.500], [0.400, 0.858, 0.500], [0.600, 0.142, 0.500], [0.165, 0.906, 0.000], [0.835, 0.094, 0.000], [0.094, 0.165, 0.000], [0.906, 0.835, 0.000], [0.665, 0.406, 0.500], [0.335, 0.594, 0.500], [0.594, 0.665, 0.500], [0.406, 0.335, 0.500]]}

=====

(3)
{"formula": "CuICl2", "functional": "PBE", "state": "optimized geometry", "spacegroup": "No. 2", "raw_formation_energy_ev_per_atom": -0.2893, "polymorph_energy_ev_per_fu": 0.24, "m_tot_mub_per_atom": 0.000, "lattice": [[-4.268, 0.998, -3.243], [2.672, -3.486, -3.786], [-2.373, -6.720, 4.803]], "species": ["I", "I", "Cu", "Cu", "Cl", "Cl", "Cl", "Cl"], "frac_coords": [[0.033, 0.519, 0.763], [0.967, 0.481, 0.237], [0.584, 0.181, 0.161], [0.416, 0.819, 0.839], [0.683, 0.796, 0.674], [0.317, 0.204, 0.326], [0.390, 0.210, 0.877], [0.610, 0.790, 0.123]]}

=====

(4)
{"formula": "CeUTe4", "functional": "PBE", "state": "optimized geometry", "spacegroup": "No. 12", "raw_formation_energy_ev_per_atom": -0.8781, "m_tot_mub_per_atom": 0.392, "lattice": [[4.008, 0.000, 0.000], [-2.004, 5.156, -2.000], [0.000, -0.021, 8.052]], "species": ["Ce", "U", "Te", "Te", "Te", "Te"], "frac_coords": [[0.500, 0.500, 0.500], [0.500, 0.500, 0.000], [0.154, 0.808, 0.321], [0.846, 0.192, 0.679], [0.846, 0.192, 0.167], [0.154, 0.808, 0.833]]}

=====

(5)
{"formula": "Pm8CdGe2", "functional": "PBE", "state": "optimized geometry", "spacegroup": "No. 12", "formation_enthalpy_0k_mev_per_atom": -286, "m_tot_mub_per_atom": 0.000, "lattice": [[-1.216, 5.113, -2.349], [-3.316, 1.041, 7.469], [8.230, 0.228, -0.276]], "species": ["Pm", "Pm", "Pm", "Pm", "Pm", "Pm", "Pm", "Pm", "Cd", "Ge", "Ge"], "frac_coords": [[0.927, 0.924, 0.682], [0.927, 0.682, 0.924], [0.302, 0.597, 0.597], [0.500, 0.757, 0.243], [0.500, 0.243, 0.757], [0.698, 0.403, 0.403], [0.073, 0.318, 0.076], [0.073, 0.076, 0.318], [0.500, 0.000, 0.000], [0.000, 0.307, 0.693], [0.000, 0.693, 0.307]]}

=====

no.,VASP energy (eV per atom)
1,-2.349
2,-2.973
3,-2.624
4,-5.843
5,-4.664